Record 1
LiNbTePdCl | PBE | relaxed

## Properties
E_form (uncorrected) (meV per atom): -382
Density of states at the Fermi level (states/eV/cell): 1.3
Spin magnetization (μB per cell): 0.0

a b c (Å): 11.0773 3.3705 5.8134
angles (deg): 90.00 100.39 90.00
Closest atoms and distances in Å follow each position.
Element x y z (fractional)
Li1 0.0719 0.0000 0.6241  3 Pd 2.56-2.57
Li2 0.0719 0.5000 0.1241  3 Pd 2.56-2.57
Cl1 0.6703 0.0000 0.8144  3 Nb 2.56, 1 Pd 2.70
Cl2 0.6703 0.5000 0.3144  3 Nb 2.56, 1 Pd 2.70
Te1 0.3383 0.0000 0.7001  3 Nb 2.75, 1 Li 2.90
Te2 0.3383 0.5000 0.2001  3 Nb 2.75, 1 Li 2.90
Nb1 0.5168 0.5000 0.9280  3 Cl 2.56, 3 Te 2.75
Nb2 0.5168 0.0000 0.4280  3 Cl 2.56, 3 Te 2.75
Pd1 0.9182 0.0000 0.9068  3 Li 2.56-2.57, 1 Cl 2.70
Pd2 0.9182 0.5000 0.4068  3 Li 2.56-2.57, 1 Cl 2.70


Record 2
LiNbTePdCl | PBE | relaxed

## Properties
E_form (uncorrected) (meV per atom): -603
Density of states at the Fermi level (states/eV/cell): 2.7
Spin magnetization (μB per cell): 0.0

a b c (Å): 3.6723 3.6728 10.0475
angles (deg): 84.91 84.72 60.04
Closest atoms and distances in Å follow each position.
Element x y z (fractional)
Cl1 0.7141 0.6023 0.8300  3 Li 2.25
Nb1 0.9752 0.8703 0.2494  3 Pd 2.64, 3 Te 2.85
Li1 0.3678 0.2571 0.9046  3 Cl 2.25
Pd1 0.6692 0.5612 0.0919  1 Cl 2.62, 3 Nb 2.64, 3 Li 2.83
Te1 0.2754 0.1740 0.4397  3 Nb 2.85


Record 3
RbLiNbCl6 | PBE | relaxed

## Properties
E_form (uncorrected) (meV per atom): -1536
Density of states at the Fermi level (states/eV/cell): 16.7
Spin magnetization (μB per cell): 2.0

a b c (Å): 6.6325 6.6325 14.5740
angles (deg): 90.00 90.00 120.00
Closest atoms and distances in Å follow each position.
Element x y z (fractional)
Cl1 0.3664 0.3837 0.8468  1 Nb 2.44, 1 Li 2.59
Cl2 0.3837 0.3664 0.3468  1 Nb 2.44, 1 Li 2.59
Cl3 0.6335 0.6163 0.1532  1 Nb 2.44, 1 Li 2.59
Cl4 0.3664 0.9827 0.6532  1 Nb 2.44, 1 Li 2.59
Cl5 0.9827 0.6163 0.3468  1 Nb 2.44, 1 Li 2.59
Cl6 0.3837 0.0173 0.1532  1 Nb 2.44, 1 Li 2.59
Cl7 0.6163 0.9827 0.8468  1 Nb 2.44, 1 Li 2.59
Cl8 0.0173 0.6336 0.8468  1 Nb 2.44, 1 Li 2.59
Cl9 0.6335 0.0173 0.3468  1 Nb 2.44, 1 Li 2.59
Cl10 0.9827 0.3664 0.1532  1 Nb 2.44, 1 Li 2.59
Cl11 0.0173 0.3837 0.6532  1 Nb 2.44, 1 Li 2.59
Cl12 0.6163 0.6336 0.6532  1 Nb 2.44, 1 Li 2.59
Li1 0.6667 0.3333 0.7500  6 Cl 2.59
Li2 0.3333 0.6667 0.2500  6 Cl 2.59
Rb1 0.0000 0.0000 0.0000  6 Cl 3.34
Rb2 0.0000 0.0000 0.5000  6 Cl 3.34
Nb1 0.6667 0.3333 0.2500  6 Cl 2.44
Nb2 0.3333 0.6667 0.7500  6 Cl 2.44


Record 4
Rb2LiNbCl6 | PBE | relaxed

## Properties
E_form (uncorrected) (meV per atom): -1619
Density of states at the Fermi level (states/eV/cell): 17.4
Spin magnetization (μB per cell): 4.0

a b c (Å): 7.2465 7.2465 12.7437
angles (deg): 73.48 73.48 60.00
Closest atoms and distances in Å follow each position.
Element x y z (fractional)
Cl1 0.8616 0.3810 0.3765  1 Nb 2.50, 1 Li 2.61
Cl2 0.7966 0.2863 0.1205  1 Nb 2.51, 1 Li 2.56
Cl3 0.1384 0.6190 0.6235  1 Nb 2.50, 1 Li 2.61
Cl4 0.3810 0.8616 0.3765  1 Nb 2.50, 1 Li 2.61
Cl5 0.6190 0.6190 0.6235  1 Nb 2.50, 1 Li 2.61
Cl6 0.2034 0.7137 0.8795  1 Nb 2.51, 1 Li 2.56
Cl7 0.7137 0.2034 0.8795  1 Nb 2.51, 1 Li 2.56
Cl8 0.6190 0.1384 0.6235  1 Nb 2.50, 1 Li 2.61
Cl9 0.7966 0.7966 0.1205  1 Nb 2.51, 1 Li 2.56
Cl10 0.2863 0.7966 0.1205  1 Nb 2.51, 1 Li 2.56
Cl11 0.2034 0.2034 0.8795  1 Nb 2.51, 1 Li 2.56
Cl12 0.3810 0.3810 0.3765  1 Nb 2.50, 1 Li 2.61
Nb1 0.5000 0.5000 0.5000  6 Cl 2.50
Nb2 0.0000 0.0000 0.0000  6 Cl 2.51
Rb1 0.2921 0.2921 0.1238  12 Cl 3.62-3.74
Rb2 0.7079 0.7079 0.8762  12 Cl 3.62-3.74
Rb3 0.8746 0.8746 0.3762  12 Cl 3.62-3.70
Rb4 0.1254 0.1254 0.6238  12 Cl 3.62-3.70
Li1 0.4128 0.4128 0.7615  6 Cl 2.56-2.61
Li2 0.5872 0.5872 0.2385  6 Cl 2.56-2.61